(1)
Below is a relaxed structure of LiLa2PuS4, with properties calculated at the PBE level.

a = 6.953 Å, b = 4.080 Å, c = 7.051 Å
α = 90.00°, β = 110.10°, γ = 90.00°
Fractional positions:
Li (0.000, 0.000, 0.000)
La (0.500, 0.000, 0.500)
La (0.500, 0.500, 0.000)
Pu (0.000, 0.500, 0.500)
S (0.235, 0.000, 0.746)
S (0.236, 0.500, 0.243)
S (0.764, 0.500, 0.757)
S (0.765, 0.000, 0.254)



(2)
Below is a relaxed structure of Ac2PrGa, with properties calculated at the PBE level.

a = 12.829 Å, b = 12.829 Å, c = 12.829 Å
α = 17.20°, β = 17.20°, γ = 17.20°
Fractional positions:
Ac (0.086, 0.086, 0.086)
Ac (0.914, 0.914, 0.914)
Pr (0.500, 0.500, 0.500)
Ga (0.000, 0.000, 0.000)

**E above lowest polymorph**: 0.4250 eV per atom
**Calculated formation energy**: 22.02 kJ per mole of atoms



(3)
Below is a relaxed structure of Ac3Ge7Pt2, with properties calculated at the PBE level.

a = 4.524 Å, b = 4.545 Å, c = 13.656 Å
α = 90.00°, β = 99.31°, γ = 90.00°
Fractional positions:
Ac (0.000, 0.000, 0.000)
Ac (0.315, 0.500, 0.636)
Ac (0.685, 0.500, 0.364)
Ge (0.100, 0.500, 0.171)
Ge (0.224, 0.000, 0.449)
Ge (0.416, 0.000, 0.829)
Ge (0.500, 0.500, 0.000)
Ge (0.584, 0.000, 0.171)
Ge (0.776, 0.000, 0.551)
Ge (0.900, 0.500, 0.829)
Pt (0.127, 0.000, 0.261)
Pt (0.873, 0.000, 0.739)

**Calculated formation energy**: -67.58 kJ per mole of atoms



| no. | uncorrected energy (eV/atom) | magnetic moment (μB/cell) |
| --- | --- | --- |
| 1 | -7.198 | 5.81 |
| 2 | -3.778 | 0.00 |
| 3 | -5.428 | 0.00 |